# PBE Dy3Er4Ir4, optimized geometry
data_Dy3Er4Ir4
_chemical_formula_sum 'Dy6 Er8 Ir8'
_cell_length_a 3.8273
_cell_length_b 8.5913
_cell_length_c 15.8152
_cell_angle_alpha 90.00
_cell_angle_beta 90.00
_cell_angle_gamma 90.00
_symmetry_space_group_name_H-M 'I m m m'
_symmetry_Int_Tables_number 71
_symmetry_space_group_name_Hall '-I 2 2'
loop_
_atom_site_label
_atom_site_fract_x
_atom_site_fract_y
_atom_site_fract_z
_atom_site_occupancy
Dy1 0.0000 0.0000 0.0000 1
Dy2 0.0000 0.5000 0.1010 1
Er1 0.0000 0.3095 0.3327 1
Ir1 0.0000 0.0000 0.2479 1
Ir2 0.0000 0.2128 0.5000 1
# VASP energy ... -150.6 eV for the cell shown
# Energy relative to the elements ... -0.71 eV/atom
# ρ ... 12.296 g/cm³

---

# PBE CaReH3, optimized geometry
data_CaReH3
_chemical_formula_sum 'Ca1 Re1 H3'
_cell_length_a 3.6540
_cell_length_b 3.6540
_cell_length_c 3.6540
_cell_angle_alpha 90.00
_cell_angle_beta 90.00
_cell_angle_gamma 90.00
_symmetry_space_group_name_H-M 'P m -3 m'
_symmetry_Int_Tables_number 221
_symmetry_space_group_name_Hall '-P 4 2 3'
loop_
_atom_site_label
_atom_site_fract_x
_atom_site_fract_y
_atom_site_fract_z
_atom_site_occupancy
Ca1 0.0000 0.0000 0.0000 1
Re1 0.5000 0.5000 0.5000 1
H1 0.0000 0.5000 0.5000 1
# Offset from the most stable computed form ... 0.000 eV/atom
# VASP energy ... -25.0 eV for the cell shown
# ρ ... 7.805 g/cm³

---

# PBE Zr2FeSnH, optimized geometry
data_Zr2FeSnH
_chemical_formula_sum 'Zr2 Fe1 Sn1 H1'
_cell_length_a 4.4888
_cell_length_b 4.4888
_cell_length_c 3.9541
_cell_angle_alpha 90.00
_cell_angle_beta 90.00
_cell_angle_gamma 90.00
_symmetry_space_group_name_H-M 'P 4/m m m'
_symmetry_Int_Tables_number 123
_symmetry_space_group_name_Hall '-P 4 2'
loop_
_atom_site_label
_atom_site_fract_x
_atom_site_fract_y
_atom_site_fract_z
_atom_site_occupancy
Zr1 0.0000 0.5000 0.0000 1
Fe1 0.0000 0.0000 0.5000 1
Sn1 0.5000 0.5000 0.5000 1
H1 0.0000 0.0000 0.0000 1
# VASP energy ... -34.5 eV for the cell shown
# ρ ... 7.462 g/cm³